# PbSeBr2 (GGA-PBE, relaxed)
data_PbSeBr2
_chemical_formula_sum 'Pb1 Se1 Br2'
_cell_length_a 8.079
_cell_length_b 8.079
_cell_length_c 4.385
_cell_angle_alpha 104.83
_cell_angle_beta 104.83
_cell_angle_gamma 28.73
_space_group_name_H-M_alt 'P 1'
_space_group_IT_number 1
_space_group_name_Hall 'P 1'
loop_
_atom_site_label
_atom_site_fract_x
_atom_site_fract_y
_atom_site_fract_z
_atom_site_occupancy
Pb1 0.000 0.000 0.000 1
Se1 0.654 0.654 0.144 1
Br1 0.157 0.157 0.647 1
Br2 0.418 0.418 0.422 1
# total moment	0.0	μB/cell
# formation energy from raw total energies	-32.7	kJ/mol of atoms
# polymorph energy (0 for the lowest one)	0.125	eV/atom